Record 1
The following is a PBE calculation of a relaxed TlAsH crystal, from Alexandria.

```
data_TlAsH
_chemical_formula_sum 'Tl16 As16 H16'
_space_group_name_H-M_alt 'F d d 2'
_space_group_IT_number 43
_space_group_name_Hall 'F 2 -2d'
_cell_length_a 11.139
_cell_length_b 15.184
_cell_length_c 6.208
_cell_angle_alpha 90.00
_cell_angle_beta 90.00
_cell_angle_gamma 90.00
loop_
_atom_site_label
_atom_site_fract_x
_atom_site_fract_y
_atom_site_fract_z
Tl1 0.118 0.072 0.000
As1 0.106 0.020 0.487
H1 0.078 0.120 0.510
```

Computed properties:
Density, Mg/m³: 7.09
Fermi-level density of states, states/eV per atom: 0.282
DFT total energy, eV per atom: -3.315
M_tot, μB/atom: 0.0000
Volume, Å³ per cell: 1049.90

Record 2
The following is a PBE calculation of a relaxed TlAs2H crystal, from Alexandria.

```
data_TlAs2H
_chemical_formula_sum 'Tl4 As8 H4'
_space_group_name_H-M_alt 'F m -3 m'
_space_group_IT_number 225
_space_group_name_Hall '-F 4 2 3'
_cell_length_a 6.734
_cell_length_b 6.734
_cell_length_c 6.734
_cell_angle_alpha 90.00
_cell_angle_beta 90.00
_cell_angle_gamma 90.00
loop_
_atom_site_label
_atom_site_fract_x
_atom_site_fract_y
_atom_site_fract_z
Tl1 0.000 0.000 0.000
As1 0.250 0.250 0.250
H1 0.000 0.000 0.500
```

Computed properties:
Density, Mg/m³: 7.73
Fermi-level density of states, states/eV per atom: 0.787
DFT total energy, eV per atom: -2.900
M_tot, μB/atom: 0.0000
Volume, Å³ per cell: 305.34

Record 3
The following is a PBE calculation of a relaxed Tl3AsH crystal, from Alexandria.

```
data_Tl3AsH
_chemical_formula_sum 'Tl3 As1 H1'
_space_group_name_H-M_alt 'P m -3 m'
_space_group_IT_number 221
_space_group_name_Hall '-P 4 2 3'
_cell_length_a 4.919
_cell_length_b 4.919
_cell_length_c 4.919
_cell_angle_alpha 90.00
_cell_angle_beta 90.00
_cell_angle_gamma 90.00
loop_
_atom_site_label
_atom_site_fract_x
_atom_site_fract_y
_atom_site_fract_z
Tl1 0.000 0.000 0.500
As1 0.500 0.500 0.500
H1 0.000 0.000 0.000
```

Computed properties:
Density, Mg/m³: 9.62
Fermi-level density of states, states/eV per atom: 0.388
DFT total energy, eV per atom: -2.774
M_tot, μB/atom: 0.0000
Volume, Å³ per cell: 119.00

Record 4
The following is a PBE calculation of a relaxed TlAsH crystal, from Alexandria.

```
data_TlAsH
_chemical_formula_sum 'Tl4 As4 H4'
_space_group_name_H-M_alt 'C 1 2/m 1'
_space_group_IT_number 12
_space_group_name_Hall '-C 2y'
_cell_length_a 5.855
_cell_length_b 4.526
_cell_length_c 9.407
_cell_angle_alpha 90.00
_cell_angle_beta 99.71
_cell_angle_gamma 90.00
loop_
_atom_site_label
_atom_site_fract_x
_atom_site_fract_y
_atom_site_fract_z
Tl1 0.205 0.000 0.346
As1 0.203 0.500 0.062
H1 0.000 0.252 0.500
```

Computed properties:
Density, Mg/m³: 7.58
Fermi-level density of states, states/eV per atom: 0.207
DFT total energy, eV per atom: -3.163
M_tot, μB/atom: 0.0000
Volume, Å³ per cell: 245.71

Record 5
The following is a PBE calculation of a relaxed TlAsH3 crystal, from Alexandria.

```
data_TlAsH3
_chemical_formula_sum 'Tl1 As1 H3'
_space_group_name_H-M_alt 'P m -3 m'
_space_group_IT_number 221
_space_group_name_Hall '-P 4 2 3'
_cell_length_a 3.979
_cell_length_b 3.979
_cell_length_c 3.979
_cell_angle_alpha 90.00
_cell_angle_beta 90.00
_cell_angle_gamma 90.00
loop_
_atom_site_label
_atom_site_fract_x
_atom_site_fract_y
_atom_site_fract_z
Tl1 0.000 0.000 0.000
As1 0.500 0.500 0.500
H1 0.000 0.500 0.500
```

Computed properties:
Density, Mg/m³: 7.44
Fermi-level density of states, states/eV per atom: 0.199
DFT total energy, eV per atom: -2.987
M_tot, μB/atom: 0.0000
Volume, Å³ per cell: 62.98

Record 6
The following is a PBE calculation of a relaxed TlAs2H crystal, from Alexandria.

```
data_TlAs2H
_chemical_formula_sum 'Tl2 As4 H2'
_space_group_name_H-M_alt 'P m m n'
_space_group_IT_number 59
_cell_length_a 3.775
_cell_length_b 5.742
_cell_length_c 8.220
_cell_angle_alpha 90.00
_cell_angle_beta 90.00
_cell_angle_gamma 90.00
loop_
_space_group_symop_operation_xyz
'x,y,z'
'-x,-y,-z'
'-x+1/2,-y+1/2,z'
'x+1/2,y+1/2,-z'
'x+1/2,-y,-z'
'-x+1/2,y,z'
'-x,y+1/2,-z'
'x,-y+1/2,z'
loop_
_atom_site_label
_atom_site_fract_x
_atom_site_fract_y
_atom_site_fract_z
Tl1 0.250 0.250 0.119
As1 0.250 0.031 0.602
H1 0.250 0.750 0.025
```

Computed properties:
Density, Mg/m³: 6.62
Fermi-level density of states, states/eV per atom: 0.272
DFT total energy, eV per atom: -3.538
M_tot, μB/atom: 0.0000
Volume, Å³ per cell: 178.17